# 1
10
Lattice="4.351 0.000 0.000 0.000 4.351 0.000 0.000 0.000 11.793" Properties=species:S:1:pos:R:3 comment="Pm2PuAl4Au3 GGA-PBE optimized geometry" total_magnetization_mub_per_fu=5.84 delta_e_f_ev_per_atom=-0.48 vol_a3_per_cell=223.3 dos_at_fermi_per_ev_cell=15.32 pbc="T T T"
Pm 0.000 2.176 2.705
Pm 2.176 0.000 9.088
Pu 0.000 0.000 5.896
Al 0.000 0.000 0.000
Al 0.000 2.176 7.897
Al 2.176 0.000 3.895
Al 2.176 2.176 0.000
Au 0.000 2.176 10.379
Au 2.176 0.000 1.414
Au 2.176 2.176 5.896

# 2
10
Lattice="4.304 0.000 0.000 0.000 4.304 0.000 0.000 0.000 10.671" Properties=species:S:1:pos:R:3 comment="Pm2Al4RuAu3 GGA-PBE optimized geometry" total_magnetization_mub_per_fu=0.00 delta_e_f_ev_per_atom=-0.69 vol_a3_per_cell=197.7 dos_at_fermi_per_ev_cell=5.72 pbc="T T T"
Pm 0.000 2.152 2.588
Pm 2.152 0.000 8.083
Al 0.000 0.000 5.335
Al 0.000 2.152 9.339
Al 2.152 0.000 1.332
Al 2.152 2.152 5.335
Ru 2.152 2.152 0.000
Au 0.000 0.000 0.000
Au 0.000 2.152 6.799
Au 2.152 0.000 3.872

# 3
4
Lattice="0.000 3.580 3.580 3.580 0.000 3.580 3.580 3.580 0.000" Properties=species:S:1:pos:R:3 comment="PmScAlAu GGA-PBE optimized geometry" total_magnetization_mub_per_fu=0.00 delta_e_f_ev_per_atom=-0.51 vol_a3_per_cell=91.7 dos_at_fermi_per_ev_cell=3.87 pbc="T T T"
Pm 0.000 0.000 0.000
Sc 3.580 3.580 3.580
Al 1.790 1.790 1.790
Au 5.369 5.369 5.369

# 4
8
Lattice="2.302 1.329 8.586 -2.302 1.329 8.586 0.000 -2.658 8.586" Properties=species:S:1:pos:R:3 comment="PmScAl2Au4 GGA-PBE optimized geometry" total_magnetization_mub_per_fu=0.00 delta_e_f_ev_per_atom=-0.70 vol_a3_per_cell=157.7 dos_at_fermi_per_ev_cell=4.67 pbc="T T T"
Pm 0.000 0.000 0.000
Sc 0.000 0.000 12.879
Al 0.000 0.000 6.217
Al 0.000 0.000 19.541
Au 0.000 0.000 3.283
Au 0.000 0.000 10.113
Au 0.000 0.000 15.645
Au 0.000 0.000 22.475

# 5
8
Lattice="2.358 1.362 8.565 -2.358 1.362 8.565 0.000 -2.723 8.565" Properties=species:S:1:pos:R:3 comment="PmSc2AlAu4 GGA-PBE optimized geometry" total_magnetization_mub_per_fu=0.00 delta_e_f_ev_per_atom=-0.72 vol_a3_per_cell=165.0 dos_at_fermi_per_ev_cell=4.28 pbc="T T T"
Pm 0.000 0.000 0.000
Sc 0.000 0.000 6.157
Sc 0.000 0.000 19.538
Al 0.000 0.000 12.847
Au 0.000 0.000 3.218
Au 0.000 0.000 10.160
Au 0.000 0.000 15.535
Au 0.000 0.000 22.477

# 6
10
Lattice="5.982 0.000 0.000 2.284 5.674 0.000 2.366 1.515 6.855" Properties=species:S:1:pos:R:3 comment="Pm2ScAlAu6 GGA-PBE optimized geometry" total_magnetization_mub_per_fu=0.00 delta_e_f_ev_per_atom=-0.54 vol_a3_per_cell=232.7 dos_at_fermi_per_ev_cell=6.48 pbc="T T T"
Pm 2.305 2.417 1.706
Pm 8.326 4.773 5.150
Sc 0.000 0.000 0.000
Al 5.316 3.595 3.428
Au 3.584 5.123 2.376
Au 5.542 5.978 4.450
Au 4.618 2.667 5.856
Au 6.013 4.522 1.000
Au 5.089 1.212 2.406
Au 7.047 2.067 4.479

# 7
10
Lattice="5.508 0.000 0.000 2.725 6.270 0.000 2.748 0.282 6.282" Properties=species:S:1:pos:R:3 comment="Pm2AlSiAu6 GGA-PBE optimized geometry" total_magnetization_mub_per_fu=0.00 vol_a3_per_cell=216.9 dos_at_fermi_per_ev_cell=5.93 e_form_raw_ev_per_atom=-0.502 pbc="T T T"
Pm 2.756 1.541 1.742
Pm 8.225 5.010 4.540
Al 0.000 0.000 0.000
Si 5.491 3.276 3.141
Au 4.095 4.951 1.759
Au 5.467 4.037 5.618
Au 4.138 1.560 4.523
Au 6.843 4.992 1.759
Au 5.514 2.515 0.664
Au 6.886 1.600 4.523

# 8
10
Lattice="4.393 0.000 0.000 0.000 4.393 0.000 0.000 0.000 10.376" Properties=species:S:1:pos:R:3 comment="Pm2Al4SiAu3 GGA-PBE optimized geometry" total_magnetization_mub_per_fu=0.00 vol_a3_per_cell=200.3 dos_at_fermi_per_ev_cell=2.88 e_form_raw_ev_per_atom=-0.674 pbc="T T T"
Pm 0.000 2.197 2.525
Pm 2.197 0.000 7.851
Al 0.000 0.000 5.188
Al 0.000 2.197 9.027
Al 2.197 0.000 1.349
Al 2.197 2.197 5.188
Si 2.197 2.197 0.000
Au 0.000 0.000 0.000
Au 0.000 2.197 6.550
Au 2.197 0.000 3.826